# 1
VASP calculation (PBE-GGA) on crystalline Nd3Sn5S12 at its relaxed geometry.

Calculated values
Fermi-level density of states in states/eV/atom: 0.20
Formation energy (no corrections) in eV/atom: -0.935
SG: Ia-3d

abc: 13.9913 13.9913 13.9913
angles: 109.47 109.47 109.47
With the nearest neighbours (Å) after each atom.
Fractional positions:
Nd1 0.1250 0.2500 0.3750  8 S 3.01-3.04
Nd2 0.1250 0.3750 0.7500  8 S 3.01-3.04
Nd3 0.2500 0.3750 0.1250  8 S 3.01-3.04
Nd4 0.2500 0.8750 0.6250  8 S 3.01-3.04
Nd5 0.3750 0.1250 0.2500  8 S 3.01-3.04
Nd6 0.3750 0.7500 0.1250  8 S 3.01-3.04
Nd7 0.6250 0.2500 0.8750  8 S 3.01-3.04
Nd8 0.6250 0.8750 0.7500  8 S 3.01-3.04
Nd9 0.7500 0.1250 0.3750  8 S 3.01-3.04
Nd10 0.7500 0.6250 0.8750  8 S 3.01-3.04
Nd11 0.8750 0.6250 0.2500  8 S 3.01-3.04
Nd12 0.8750 0.7500 0.6250  8 S 3.01-3.04
Sn1 0.0000 0.0000 0.0000  6 S 2.78
Sn2 0.0000 0.0000 0.5000  6 S 2.78
Sn3 0.0000 0.5000 0.0000  6 S 2.78
Sn4 0.0000 0.5000 0.5000  6 S 2.78
Sn5 0.1250 0.7500 0.8750  4 S 2.48
Sn6 0.1250 0.8750 0.2500  4 S 2.48
Sn7 0.2500 0.1250 0.8750  4 S 2.48
Sn8 0.2500 0.6250 0.3750  4 S 2.48
Sn9 0.3750 0.2500 0.6250  4 S 2.48
Sn10 0.3750 0.6250 0.7500  4 S 2.48
Sn11 0.5000 0.0000 0.0000  6 S 2.78
Sn12 0.5000 0.0000 0.5000  6 S 2.78
Sn13 0.5000 0.5000 0.0000  6 S 2.78
Sn14 0.5000 0.5000 0.5000  6 S 2.78
Sn15 0.6250 0.3750 0.2500  4 S 2.48
Sn16 0.6250 0.7500 0.3750  4 S 2.48
Sn17 0.7500 0.3750 0.6250  4 S 2.48
Sn18 0.7500 0.8750 0.1250  4 S 2.48
Sn19 0.8750 0.1250 0.7500  4 S 2.48
Sn20 0.8750 0.2500 0.1250  4 S 2.48
S1 0.0437 0.2235 0.1350  1 Sn 2.48
S2 0.0437 0.3203 0.9087  1 Sn 2.48
S3 0.0885 0.7235 0.6797  1 Sn 2.48
S4 0.0885 0.8650 0.4087  1 Sn 2.48
S5 0.0913 0.6350 0.4115  1 Sn 2.48
S6 0.0913 0.9563 0.6797  1 Sn 2.48
S7 0.1350 0.0437 0.2235  1 Sn 2.48
S8 0.1350 0.5913 0.9115  1 Sn 2.48
S9 0.1797 0.2235 0.5885  1 Sn 2.48
S10 0.1797 0.4563 0.5913  1 Sn 2.48
S11 0.2235 0.1350 0.0437  1 Sn 2.48
S12 0.2235 0.5885 0.1797  1 Sn 2.48
S13 0.2765 0.3203 0.9115  1 Sn 2.48
S14 0.2765 0.4563 0.3650  1 Sn 2.48
S15 0.3203 0.9087 0.0437  1 Sn 2.48
S16 0.3203 0.9115 0.2765  1 Sn 2.48
S17 0.3650 0.2765 0.4563  1 Sn 2.48
S18 0.3650 0.5885 0.9087  1 Sn 2.48
S19 0.4087 0.0885 0.8650  1 Sn 2.48
S20 0.4087 0.8203 0.5437  1 Sn 2.48
S21 0.4115 0.0913 0.6350  1 Sn 2.48
S22 0.4115 0.8203 0.7765  1 Sn 2.48
S23 0.4563 0.3650 0.2765  1 Sn 2.48
S24 0.4563 0.5913 0.1797  1 Sn 2.48
S25 0.5437 0.4087 0.8203  1 Sn 2.48
S26 0.5437 0.6350 0.7235  1 Sn 2.48
S27 0.5885 0.1797 0.2235  1 Sn 2.48
S28 0.5885 0.9087 0.3650  1 Sn 2.48
S29 0.5913 0.1797 0.4563  1 Sn 2.48
S30 0.5913 0.9115 0.1350  1 Sn 2.48
S31 0.6350 0.4115 0.0913  1 Sn 2.48
S32 0.6350 0.7235 0.5437  1 Sn 2.48
S33 0.6797 0.0885 0.7235  1 Sn 2.48
S34 0.6797 0.0913 0.9563  1 Sn 2.48
S35 0.7235 0.5437 0.6350  1 Sn 2.48
S36 0.7235 0.6797 0.0885  1 Sn 2.48
S37 0.7765 0.4115 0.8203  1 Sn 2.48
S38 0.7765 0.8650 0.9563  1 Sn 2.48
S39 0.8203 0.5437 0.4087  1 Sn 2.48
S40 0.8203 0.7765 0.4115  1 Sn 2.48
S41 0.8650 0.4087 0.0885  1 Sn 2.48
S42 0.8650 0.9563 0.7765  1 Sn 2.48
S43 0.9087 0.0437 0.3203  1 Sn 2.48
S44 0.9087 0.3650 0.5885  1 Sn 2.48
S45 0.9115 0.1350 0.5913  1 Sn 2.48
S46 0.9115 0.2765 0.3203  1 Sn 2.48
S47 0.9563 0.6797 0.0913  1 Sn 2.48
S48 0.9563 0.7765 0.8650  1 Sn 2.48

=====

# 2
VASP calculation (PBE-GGA) on crystalline BaNbTl2B at its relaxed geometry.

Calculated values
Energy in eV for the cell shown: -12.4
Fermi-level density of states in states/eV/atom: 1.17
SG: P4/mmm

abc: 6.0827 6.0827 4.6551
angles: 90.00 90.00 90.00
With the nearest neighbours (Å) after each atom.
Fractional positions:
Ba1 0.0000 0.0000 0.0000  2 B 2.33
Nb1 0.5000 0.5000 0.5000  8 Tl 3.83
Tl1 0.0000 0.5000 0.0000  2 Ba 3.04
Tl2 0.5000 0.0000 0.0000  2 Ba 3.04
B1 0.0000 0.0000 0.5000  2 Ba 2.33

=====

# 3
VASP calculation (PBE-GGA) on crystalline CsBaP2 at its relaxed geometry.

Calculated values
Fermi-level density of states in states/eV/atom: 0.68
Excess energy over the best structure of this formula in the dataset in meV/atom: 0
SG: I-42d

abc: 5.4964 5.4964 21.5335
angles: 90.00 90.00 90.00
With the nearest neighbours (Å) after each atom.
Fractional positions:
Cs1 0.0000 0.0000 0.0000  4 Ba 3.89, 8 P 3.91-4.27
Cs2 0.0000 0.5000 0.2500  4 Ba 3.89, 8 P 3.91-4.27
Cs3 0.5000 0.0000 0.7500  4 Ba 3.89, 8 P 3.91-4.27
Cs4 0.5000 0.5000 0.5000  4 Ba 3.89, 8 P 3.91-4.27
Ba1 0.0000 0.0000 0.5000  4 P 3.03
Ba2 0.0000 0.5000 0.7500  4 P 3.03
Ba3 0.5000 0.0000 0.2500  4 P 3.03
Ba4 0.5000 0.5000 0.0000  4 P 3.03
P1 0.0496 0.2500 0.6250  2 P 2.80, 2 Ba 3.03
P2 0.2500 0.5496 0.8750  2 P 2.80, 2 Ba 3.03
P3 0.2500 0.9504 0.3750  2 P 2.80, 2 Ba 3.03
P4 0.4504 0.2500 0.1250  2 P 2.80, 2 Ba 3.03
P5 0.5496 0.7500 0.1250  2 P 2.80, 2 Ba 3.03
P6 0.7500 0.0496 0.3750  2 P 2.80, 2 Ba 3.03
P7 0.7500 0.4504 0.8750  2 P 2.80, 2 Ba 3.03
P8 0.9504 0.7500 0.6250  2 P 2.80, 2 Ba 3.03

=====

# 4
VASP calculation (PBE-GGA) on crystalline In2Ge2I at its relaxed geometry.

Calculated values
Fermi-level density of states in states/eV/atom: 0.97
Formation energy (no corrections) in eV/atom: 0.093
Excess energy over the best structure of this formula in the dataset in meV/atom: 0
SG: I4/mmm

abc: 5.1644 5.1644 10.1899
angles: 90.00 90.00 90.00
With the nearest neighbours (Å) after each atom.
Fractional positions:
In1 0.0000 0.5000 0.2500  4 Ge 2.89
In2 0.0000 0.5000 0.7500  4 Ge 2.89
In3 0.5000 0.0000 0.2500  4 Ge 2.89
In4 0.5000 0.0000 0.7500  4 Ge 2.89
Ge1 0.0000 0.0000 0.1231  1 Ge 2.51
Ge2 0.0000 0.0000 0.8769  1 Ge 2.51
Ge3 0.5000 0.5000 0.3769  1 Ge 2.51
Ge4 0.5000 0.5000 0.6231  1 Ge 2.51
I1 0.0000 0.0000 0.5000  8 In 3.63, 10 Ge 3.84-3.86
I2 0.5000 0.5000 0.0000  8 In 3.63, 10 Ge 3.84-3.86

=====

# 5
VASP calculation (PBE-GGA) on crystalline PuMn2Pd at its relaxed geometry.

Calculated values
Fermi-level density of states in states/eV/atom: 1.19
Excess energy over the best structure of this formula in the dataset in meV/atom: 0
SG: P4/mmm

abc: 4.1483 4.1483 3.8031
angles: 90.00 90.00 90.00
With the nearest neighbours (Å) after each atom.
Fractional positions:
Pu1 0.0000 0.0000 0.0000  8 Mn 2.81, 4 Pd 2.93
Mn1 0.0000 0.5000 0.5000  4 Pd 2.81, 4 Pu 2.81, 4 Mn 2.93
Mn2 0.5000 0.0000 0.5000  4 Pd 2.81, 4 Pu 2.81, 4 Mn 2.93
Pd1 0.5000 0.5000 0.0000  8 Mn 2.81, 4 Pu 2.93

=====

# 6
VASP calculation (PBE-GGA) on crystalline Hf2GaFe5Re2 at its relaxed geometry.

Calculated values
Energy in eV for the cell shown: -177.7
Fermi-level density of states in states/eV/atom: 0.81
SG: P4/mbm

abc: 9.8168 9.8168 3.0251
angles: 90.00 90.00 90.00
With the nearest neighbours (Å) after each atom.
Fractional positions:
Hf1 0.1710 0.3290 0.0000  1 Re 2.63, 6 Fe 2.81-2.94
Hf2 0.3290 0.8290 0.0000  1 Re 2.63, 6 Fe 2.81-2.94
Hf3 0.6710 0.1710 0.0000  1 Re 2.63, 6 Fe 2.81-2.94
Hf4 0.8290 0.6710 0.0000  1 Re 2.63, 6 Fe 2.81-2.94
Ga1 0.0000 0.0000 0.0000  8 Fe 2.49
Ga2 0.5000 0.5000 0.0000  8 Fe 2.49
Fe1 0.0000 0.5000 0.5000  4 Re 2.46
Fe2 0.0479 0.8047 0.5000  2 Re 2.39, 2 Ga 2.49
Fe3 0.1953 0.0479 0.5000  2 Re 2.39, 2 Ga 2.49
Fe4 0.3047 0.5479 0.5000  2 Re 2.39, 2 Ga 2.49
Fe5 0.4521 0.3047 0.5000  2 Re 2.39, 2 Ga 2.49
Fe6 0.5000 0.0000 0.5000  4 Re 2.46
Fe7 0.5479 0.6953 0.5000  2 Re 2.39, 2 Ga 2.49
Fe8 0.6953 0.4521 0.5000  2 Re 2.39, 2 Ga 2.49
Fe9 0.8047 0.9521 0.5000  2 Re 2.39, 2 Ga 2.49
Fe10 0.9521 0.1953 0.5000  2 Re 2.39, 2 Ga 2.49
Re1 0.1399 0.6399 0.0000  6 Fe 2.39-2.46, 1 Hf 2.63
Re2 0.3601 0.1399 0.0000  6 Fe 2.39-2.46, 1 Hf 2.63
Re3 0.6399 0.8601 0.0000  6 Fe 2.39-2.46, 1 Hf 2.63
Re4 0.8601 0.3601 0.0000  6 Fe 2.39-2.46, 1 Hf 2.63

=====

# 7
VASP calculation (PBE-GGA) on crystalline Pu3PN3 at its relaxed geometry.

Calculated values
Fermi-level density of states in states/eV/atom: 2.51
Formation energy (no corrections) in eV/atom: -1.154
SG: R-3

abc: 7.5618 7.5618 7.5618
angles: 51.63 51.63 51.63
With the nearest neighbours (Å) after each atom.
Fractional positions:
Pu1 0.0555 0.7496 0.4064  4 N 2.24-2.29
Pu2 0.2504 0.5936 0.9445  4 N 2.24-2.29
Pu3 0.4064 0.0555 0.7496  4 N 2.24-2.29
Pu4 0.5936 0.9445 0.2504  4 N 2.24-2.29
Pu5 0.7496 0.4064 0.0555  4 N 2.24-2.29
Pu6 0.9445 0.2504 0.5936  4 N 2.24-2.29
P1 0.1665 0.1665 0.1665  6 Pu 2.85-2.87
P2 0.8335 0.8335 0.8335  6 Pu 2.85-2.87
N1 0.0596 0.3708 0.7009  4 Pu 2.24-2.29
N2 0.2991 0.9404 0.6292  4 Pu 2.24-2.29
N3 0.3708 0.7009 0.0596  4 Pu 2.24-2.29
N4 0.6292 0.2991 0.9404  4 Pu 2.24-2.29
N5 0.7009 0.0596 0.3708  4 Pu 2.24-2.29
N6 0.9404 0.6292 0.2991  4 Pu 2.24-2.29

=====

# 8
VASP calculation (PBE-GGA) on crystalline AcMgSbS at its relaxed geometry.

Calculated values
Formation energy (no corrections) in eV/atom: -1.248
SG: P4/nmm

abc: 4.8174 4.8174 10.1971
angles: 90.00 90.00 90.00
With the nearest neighbours (Å) after each atom.
Fractional positions:
Ac1 0.2500 0.2500 0.1567  4 S 2.89
Ac2 0.7500 0.7500 0.8433  4 S 2.89
Mg1 0.2500 0.7500 0.5000  4 Sb 2.94
Mg2 0.7500 0.2500 0.5000  4 Sb 2.94
Sb1 0.2500 0.2500 0.6658  4 Mg 2.94
Sb2 0.7500 0.7500 0.3342  4 Mg 2.94
S1 0.2500 0.7500 0.0000  4 Ac 2.89
S2 0.7500 0.2500 0.0000  4 Ac 2.89

=====

# 9
VASP calculation (PBE-GGA) on crystalline CrNi4Pt7 at its relaxed geometry.

Calculated values
Energy in eV for the cell shown: -76.3
Fermi-level density of states in states/eV/atom: 1.70
SG: P-1

abc: 4.7315 5.3890 7.1413
angles: 78.09 71.40 89.28
With the nearest neighbours (Å) after each atom.
Fractional positions:
Cr1 0.0000 0.0000 0.0000  10 Pt 2.67-2.77, 2 Ni 2.75
Ni1 0.1677 0.4167 0.3361  9 Pt 2.63-2.77, 3 Ni 2.67-2.77
Ni2 0.3416 0.8325 0.6637  8 Pt 2.65-2.73, 3 Ni 2.66-2.77, 1 Cr 2.75
Ni3 0.6584 0.1675 0.3363  8 Pt 2.65-2.73, 3 Ni 2.66-2.77, 1 Cr 2.75
Ni4 0.8323 0.5833 0.6639  9 Pt 2.63-2.77, 3 Ni 2.67-2.77
Pt1 0.0000 0.5000 0.0000  2 Cr 2.69, 6 Pt 2.70-2.75, 4 Ni 2.71-2.72
Pt2 0.1632 0.9186 0.3393  5 Pt 2.64-2.76, 6 Ni 2.66-2.73, 1 Cr 2.72
Pt3 0.3246 0.3328 0.6648  6 Ni 2.63-2.77, 1 Cr 2.69, 5 Pt 2.70-2.76
Pt4 0.4916 0.7512 0.9978  3 Ni 2.65-2.74, 2 Cr 2.67-2.77, 7 Pt 2.69-2.76
Pt5 0.5084 0.2488 0.0022  3 Ni 2.65-2.74, 2 Cr 2.67-2.77, 7 Pt 2.69-2.76
Pt6 0.6754 0.6672 0.3352  6 Ni 2.63-2.77, 1 Cr 2.69, 5 Pt 2.70-2.76
Pt7 0.8368 0.0814 0.6607  5 Pt 2.64-2.76, 6 Ni 2.66-2.73, 1 Cr 2.72

=====

# 10
VASP calculation (PBE-GGA) on crystalline Li3Al at its relaxed geometry.

Calculated values
Energy in eV for the cell shown: -19.6
Fermi-level density of states in states/eV/atom: 0.23
SG: Cmmm

abc: 6.0834 7.6099 2.8912
angles: 90.00 90.00 90.00
With the nearest neighbours (Å) after each atom.
Fractional positions:
Li1 0.0000 0.0000 0.0000  10 Li 2.83-2.89, 2 Al 3.04
Li2 0.2500 0.2500 0.5000  8 Li 2.83-3.04, 4 Al 2.83
Li3 0.2500 0.7500 0.5000  4 Al 2.83, 8 Li 2.83-3.04
Li4 0.5000 0.5000 0.0000  10 Li 2.83-2.89, 2 Al 3.04
Li5 0.7500 0.2500 0.5000  8 Li 2.83-3.04, 4 Al 2.83
Li6 0.7500 0.7500 0.5000  8 Li 2.83-3.04, 4 Al 2.83
Al1 0.0000 0.5000 0.0000  10 Li 2.83-3.04, 2 Al 2.89
Al2 0.5000 0.0000 0.0000  10 Li 2.83-3.04, 2 Al 2.89

=====

# 11
VASP calculation (PBE-GGA) on crystalline CeMg3Hg3 at its relaxed geometry.

Calculated values
Fermi-level density of states in states/eV/atom: 1.82
Excess energy over the best structure of this formula in the dataset in meV/atom: 397
SG: Pm-3n

abc: 7.5113 7.5113 7.5113
angles: 90.00 90.00 90.00
With the nearest neighbours (Å) after each atom.
Fractional positions:
Ce1 0.0000 0.0000 0.0000  12 Hg 4.20, 12 Mg 4.20
Ce2 0.5000 0.5000 0.5000  12 Hg 4.20, 12 Mg 4.20
Mg1 0.0000 0.2500 0.5000  4 Hg 2.66
Mg2 0.0000 0.7500 0.5000  4 Hg 2.66
Mg3 0.2500 0.5000 0.0000  4 Hg 2.66
Mg4 0.5000 0.0000 0.2500  4 Hg 2.66
Mg5 0.5000 0.0000 0.7500  4 Hg 2.66
Mg6 0.7500 0.5000 0.0000  4 Hg 2.66
Hg1 0.0000 0.5000 0.2500  4 Mg 2.66
Hg2 0.0000 0.5000 0.7500  4 Mg 2.66
Hg3 0.2500 0.0000 0.5000  4 Mg 2.66
Hg4 0.5000 0.2500 0.0000  4 Mg 2.66
Hg5 0.5000 0.7500 0.0000  4 Mg 2.66
Hg6 0.7500 0.0000 0.5000  4 Mg 2.66

=====

# 12
VASP calculation (PBE-GGA) on crystalline Ho6HgSe3S2 at its relaxed geometry.

Calculated values
Fermi-level density of states in states/eV/atom: 0.48
Formation energy (no corrections) in eV/atom: -1.571
SG: C2/m

abc: 9.0586 9.0586 8.3077
angles: 103.59 103.59 25.17
With the nearest neighbours (Å) after each atom.
Fractional positions:
Ho1 0.0054 0.0054 0.2594  1 S 2.82, 3 Se 2.83-2.95, 2 Hg 2.91
Ho2 0.3295 0.3295 0.4288  3 S 2.74-2.76, 3 Se 2.93
Ho3 0.3310 0.3310 0.9004  2 S 2.79, 3 Se 2.83-2.98, 1 Hg 2.90
Ho4 0.6690 0.6690 0.0996  2 S 2.79, 3 Se 2.83-2.98, 1 Hg 2.90
Ho5 0.6705 0.6705 0.5712  3 S 2.74-2.76, 3 Se 2.93
Ho6 0.9946 0.9946 0.7406  1 S 2.82, 3 Se 2.83-2.95, 2 Hg 2.91
Hg1 0.5000 0.5000 0.0000  6 Ho 2.90-2.91
Se1 0.1662 0.1662 0.8302  6 Ho 2.83-2.98
Se2 0.5000 0.5000 0.5000  6 Ho 2.83-2.93
Se3 0.8338 0.8338 0.1698  6 Ho 2.83-2.98
S1 0.1696 0.1696 0.3378  6 Ho 2.74-2.82
S2 0.8304 0.8304 0.6622  6 Ho 2.74-2.82